(1)
Density functional theory data (PBE-GGA) for a relaxed structure of ThTaNbC3.

The space group is P2_1/m (No. 11) and the conventional cell measures 5.792, 3.373 and 8.631 Å, with angles of 90.00, 102.58 and 90.00 degrees. The inequivalent atoms are Th at (0.147, 0.250, 0.196), Ta at (0.370, 0.250, 0.856), Nb at (0.268, 0.750, 0.543), C at (0.067, 0.250, 0.653), C at (0.268, 0.750, 0.985) and C at (0.465, 0.750, 0.349).

The value obtained for the density is 10.93 g/cm3. The formation energy comes out at -0.41 eV/atom. The value obtained for the magnetic moment is 0.00 μB/cell.

(2)
Density functional theory data (PBE-GGA) for a relaxed structure of ZrTiSi.

The space group is C2/m (No. 12) and the conventional cell measures 9.848, 3.844 and 6.981 Å, with angles of 90.00, 121.41 and 90.00 degrees. The inequivalent atoms are Zr at (0.156, 0.000, 0.285), Ti at (0.119, 0.500, 0.927) and Si at (0.128, 0.000, 0.669).

The formation energy from raw total energies comes out at -0.319 eV/atom. The value obtained for the density is 4.92 g/cm3. The value obtained for the magnetic moment is 0.00 μB/cell.

(3)
Density functional theory data (PBE-GGA) for a relaxed structure of Nb3VMo.

The space group is C2/m (No. 12) and the conventional cell measures 13.212, 4.590 and 5.614 Å, with angles of 90.00, 97.20 and 90.00 degrees. The inequivalent atoms are Nb at (0.005, 0.000, 0.256), Nb at (0.104, 0.500, 0.950), Nb at (0.203, 0.000, 0.650), V at (0.094, 0.500, 0.453) and Mo at (0.200, 0.000, 0.154).

The value obtained for the density is 8.37 g/cm3. The formation energy comes out at -0.04 eV/atom. The energy above the most stable polymorph in this dataset comes out at 0 meV per atom. The value obtained for the magnetic moment is 0.00 μB/cell.

(4)
Density functional theory data (PBE-GGA) for a relaxed structure of Sm4ErS7.

The space group is Cm (No. 8) and the conventional cell measures 13.093, 3.882 and 11.768 Å, with angles of 90.00, 104.99 and 90.00 degrees. The inequivalent atoms are Sm at (0.000, 0.000, 0.000), Sm at (0.088, 0.500, 0.385), Sm at (0.190, 0.000, 0.768), Sm at (0.388, 0.500, 0.574), Er at (0.276, 0.500, 0.154), S at (0.048, 0.500, 0.627), S at (0.131, 0.500, 0.933), S at (0.154, 0.000, 0.223), S at (0.228, 0.000, 0.524), S at (0.348, 0.500, 0.791), S at (0.384, 0.000, 0.079) and S at (0.428, 0.500, 0.356).

The formation energy from raw total energies comes out at -2.069 eV/atom. The value obtained for the density is 5.71 g/cm3. The value obtained for the magnetic moment is 0.00 μB/cell.

(5)
Density functional theory data (PBE-GGA) for a relaxed structure of V2HOs.

The space group is I-42d (No. 122) and the conventional cell measures 5.055, 5.055 and 7.134 Å, with angles of 90.00, 90.00 and 90.00 degrees. The inequivalent atoms are V at (0.002, 0.750, 0.125), H at (0.000, 0.000, 0.000) and Os at (0.000, 0.000, 0.500).

The value obtained for the density is 10.68 g/cm3. The energy above the most stable polymorph in this dataset comes out at 165 meV per atom. The value obtained for the magnetic moment is 0.00 μB/cell.

(6)
Density functional theory data (PBE-GGA) for a relaxed structure of KNbSO2.

The space group is P4mm (No. 99) and the conventional cell measures 3.881, 3.881 and 6.385 Å, with angles of 90.00, 90.00 and 90.00 degrees. The inequivalent atoms are K at (0.000, 0.000, 0.000), Nb at (0.500, 0.500, 0.401), S at (0.500, 0.500, 0.752) and O at (0.000, 0.500, 0.320).

The formation energy from raw total energies comes out at -1.937 eV/atom. The value obtained for the density is 3.38 g/cm3. The value obtained for the magnetic moment is 0.00 μB/cell.

(7)
Density functional theory data (PBE-GGA) for a relaxed structure of Rb3SiBr6.

The space group is Fm-3m (No. 225) and the conventional cell measures 11.628, 11.628 and 11.628 Å, with angles of 90.00, 90.00 and 90.00 degrees. The inequivalent atoms are Rb at (0.000, 0.000, 0.000), Rb at (0.250, 0.250, 0.250), Si at (0.000, 0.000, 0.500) and Br at (0.000, 0.000, 0.279).

The formation energy from raw total energies comes out at -1.165 eV/atom. The value obtained for the density is 3.23 g/cm3. The value obtained for the magnetic moment is 3.69 μB/cell.

(8)
Density functional theory data (PBE-GGA) for a relaxed structure of ZnSbH3.

The space group is Pm-3m (No. 221) and the conventional cell measures 3.766, 3.766 and 3.766 Å, with angles of 90.00, 90.00 and 90.00 degrees. The inequivalent atoms are Zn at (0.000, 0.000, 0.000), Sb at (0.500, 0.500, 0.500) and H at (0.000, 0.000, 0.500).

The value obtained for the density is 5.91 g/cm3. The energy above the most stable polymorph in this dataset comes out at 72 meV per atom. The value obtained for the magnetic moment is 0.00 μB/cell.

(9)
Density functional theory data (PBE-GGA) for a relaxed structure of PmPr3Nd3Zn2.

The space group is P-62m (No. 189) and the conventional cell measures 9.2697, 9.2697 and 3.7484 Å, with angles of 90.00, 90.00 and 120.00 degrees. The inequivalent atoms are Pm at (0.0000, 0.0000, 0.0000), Pr at (0.0000, 0.3108, 0.5000), Nd at (0.0000, 0.6183, 0.0000) and Zn at (0.3333, 0.6667, 0.5000).

The value obtained for the density is 6.73 g/cm3. The formation energy comes out at -0.02 eV/atom. The value obtained for the magnetic moment is 0.00 μB/cell.

(10)
Density functional theory data (PBE-GGA) for a relaxed structure of TlInHg2Pb4.

The space group is P2/m (No. 10) and the conventional cell measures 4.880, 5.032 and 9.495 Å, with angles of 90.00, 90.76 and 90.00 degrees. The inequivalent atoms are Tl at (0.000, 0.000, 0.000), In at (0.500, 0.500, 0.500), Hg at (0.000, 0.000, 0.500), Hg at (0.500, 0.500, 0.000), Pb at (0.006, 0.500, 0.746) and Pb at (0.498, 0.000, 0.258).

The value obtained for the density is 11.03 g/cm3. The formation energy comes out at 0.02 eV/atom. The value obtained for the magnetic moment is 0.00 μB/cell.

(11)
Density functional theory data (PBE-GGA) for a relaxed structure of IrOs2Pt.

The space group is Cmm2 (No. 35) and the conventional cell measures 2.715, 4.721 and 9.480 Å, with angles of 90.00, 90.00 and 90.00 degrees. The inequivalent atoms are Ir at (0.000, 0.000, 0.000), Os at (0.000, 0.000, 0.485), Os at (0.000, 0.500, 0.244) and Pt at (0.000, 0.500, 0.742).

The value obtained for the density is 20.98 g/cm3. The formation energy comes out at 0.46 eV/atom. The energy above the most stable polymorph in this dataset comes out at 395 meV per atom. The value obtained for the magnetic moment is 2.14 μB/cell.

(12)
Density functional theory data (PBE-GGA) for a relaxed structure of Zn2SnAu6.

The space group is Amm2 (No. 38) and the conventional cell measures 4.043, 13.134 and 6.531 Å, with angles of 90.00, 90.00 and 90.00 degrees. The inequivalent atoms are Zn at (0.000, 0.140, 0.000), Sn at (0.500, 0.000, 0.603), Au at (0.000, 0.000, 0.303), Au at (0.000, 0.164, 0.587), Au at (0.500, 0.000, 0.016) and Au at (0.500, 0.231, 0.306).

The value obtained for the density is 13.71 g/cm3. The formation energy comes out at -0.07 eV/atom. The energy above the most stable polymorph in this dataset comes out at 11 meV per atom. The value obtained for the magnetic moment is 0.00 μB/cell.